A geometry-optimized LaVW3 structure. Source: the Alexandria database, functional PBE-GGA.

- magnetization (μB/f.u.) = 0.0
- DOS(E_F) (states/eV/cell) = 5.89
- distance to the lowest polymorph of the same formula (eV/atom) = 0.000
- raw total energy (eV per atom) = -9.36
- symmetry = Pm-3m

abc: 4.718 4.718 4.718
angles: 90.00 90.00 90.00
Atoms (fractional coordinates):
W 0.000 0.500 0.000
W 0.000 0.000 0.500
W 0.500 0.000 0.000
La 0.500 0.500 0.500
V 0.000 0.000 0.000